[1]
Ba2SiTcIr GGA-PBE relaxed; mass density = 5.7 g cm⁻³; total magnetic moment = 0.69 μB/atom; total DFT energy (no corrections) = -5.1106 eV per atom
1.0
6.132 0.000 0.000
0.000 6.132 0.000
0.000 0.000 4.564
Ba Si Tc Ir
2 1 1 1
Direct
0.000 0.500 0.000
0.500 0.000 0.000
0.000 0.000 0.500
0.500 0.500 0.500
0.000 0.000 0.000



[2]
BaSm2Ir GGA-PBE relaxed; mass density = 6.4 g cm⁻³; ΔE to the lowest computed polymorph = 0.124 eV/atom; total magnetic moment = 0.00 μB/atom; total DFT energy (no corrections) = -5.3173 eV per atom
1.0
4.142 0.000 0.000
-2.071 3.587 0.000
0.000 0.000 32.851
Ba Sm Ir
3 6 3
Direct
0.000 0.000 0.000
0.333 0.667 0.667
0.667 0.333 0.333
0.000 0.000 0.122
0.000 0.000 0.878
0.333 0.667 0.545
0.333 0.667 0.789
0.667 0.333 0.211
0.667 0.333 0.455
0.000 0.000 0.500
0.333 0.667 0.167
0.667 0.333 0.833



[3]
BaSmIr4 GGA-PBE relaxed; mass density = 14.8 g cm⁻³; total magnetic moment = 0.00 μB/atom; total DFT energy (no corrections) = -7.3408 eV per atom
1.0
0.000 3.895 3.895
3.895 0.000 3.895
3.895 3.895 0.000
Ba Sm Ir
1 1 4
Direct
0.000 0.000 0.000
0.750 0.750 0.750
0.375 0.375 0.375
0.375 0.375 0.874
0.375 0.874 0.375
0.874 0.375 0.375



[4]
BaSm3Ir GGA-PBE relaxed; mass density = 7.1 g cm⁻³; total magnetic moment = 0.00 μB/atom; total DFT energy (no corrections) = -5.2399 eV per atom
1.0
5.677 0.000 0.000
0.000 5.677 0.000
0.000 0.000 5.677
Ba Sm Ir
1 3 1
Direct
0.000 0.000 0.000
0.000 0.500 0.500
0.500 0.000 0.500
0.500 0.500 0.000
0.500 0.500 0.500



[5]
BaSm2Ir GGA-PBE relaxed; mass density = 6.9 g cm⁻³; ΔE to the lowest computed polymorph = 0.000 eV/atom; total magnetic moment = 0.00 μB/atom; total DFT energy (no corrections) = -5.4413 eV per atom
1.0
4.253 0.000 0.000
-2.127 3.684 0.000
0.000 0.000 28.911
Ba Sm Ir
3 6 3
Direct
0.000 0.000 0.000
0.333 0.667 0.667
0.667 0.333 0.333
0.000 0.000 0.217
0.000 0.000 0.453
0.333 0.667 0.120
0.333 0.667 0.883
0.667 0.333 0.550
0.667 0.333 0.787
0.000 0.000 0.835
0.333 0.667 0.502
0.667 0.333 0.168



[6]
BaSmIr GGA-PBE relaxed; mass density = 8.2 g cm⁻³; total magnetic moment = 0.00 μB/atom; total DFT energy (no corrections) = -5.4279 eV per atom
1.0
3.667 0.000 0.000
0.000 3.667 0.000
0.000 0.000 14.421
Ba Sm Ir
2 2 2
Direct
0.000 0.000 0.000
0.500 0.500 0.500
0.000 0.000 0.243
0.500 0.500 0.743
0.000 0.000 0.649
0.500 0.500 0.149



[7]
Ba2Sn5Ir3 GGA-PBE relaxed; mass density = 9.6 g cm⁻³; total magnetic moment = 0.00 μB/atom; total DFT energy (no corrections) = -5.4914 eV per atom
1.0
6.498 -6.736 0.000
6.498 6.736 0.000
-3.303 0.000 5.684
Ba Sn Ir
4 10 6
Direct
0.096 0.372 0.234
0.372 0.096 0.734
0.628 0.904 0.266
0.904 0.628 0.766
0.001 0.999 0.750
0.249 0.435 0.841
0.266 0.734 0.750
0.267 0.733 0.250
0.435 0.249 0.341
0.565 0.751 0.659
0.733 0.267 0.750
0.734 0.266 0.250
0.751 0.565 0.159
0.999 0.001 0.250
0.026 0.757 0.390
0.243 0.974 0.110
0.499 0.501 0.250
0.501 0.499 0.750
0.757 0.026 0.890
0.974 0.243 0.610



[8]
BaSn3Ir GGA-PBE relaxed; mass density = 5.3 g cm⁻³; total magnetic moment = 0.28 μB/atom; total DFT energy (no corrections) = -2.5502 eV per atom
1.0
5.973 0.000 0.000
0.000 5.973 0.000
0.000 0.000 5.973
Ba Sn Ir
1 3 1
Direct
0.000 0.000 0.000
0.000 0.000 0.500
0.000 0.500 0.000
0.500 0.000 0.000
0.500 0.500 0.500



[9]
Ba2Sn2Ir GGA-PBE relaxed; mass density = 7.8 g cm⁻³; total magnetic moment = 0.00 μB/atom; total DFT energy (no corrections) = -4.4342 eV per atom
1.0
7.334 0.000 0.000
0.000 7.334 0.000
0.000 0.000 5.589
Ba Sn Ir
4 4 2
Direct
0.172 0.328 0.000
0.328 0.828 0.000
0.672 0.172 0.000
0.828 0.672 0.000
0.147 0.647 0.500
0.353 0.147 0.500
0.647 0.853 0.500
0.853 0.353 0.500
0.000 0.000 0.500
0.500 0.500 0.500



[10]
BaSn2Ir GGA-PBE relaxed; mass density = 6.7 g cm⁻³; total magnetic moment = 0.00 μB/atom; total DFT energy (no corrections) = -4.8641 eV per atom
1.0
5.713 0.000 0.000
0.000 5.713 0.000
0.000 0.000 17.151
Ba Sn Ir
4 8 4
Direct
0.000 0.000 0.000
0.000 0.500 0.250
0.500 0.000 0.750
0.500 0.500 0.500
0.040 0.250 0.625
0.250 0.540 0.875
0.250 0.960 0.375
0.460 0.250 0.125
0.540 0.750 0.125
0.750 0.040 0.375
0.750 0.460 0.875
0.960 0.750 0.625
0.000 0.000 0.500
0.000 0.500 0.750
0.500 0.000 0.250
0.500 0.500 0.000



[11]
Ba8SnIr2 GGA-PBE relaxed; mass density = 4.3 g cm⁻³; total magnetic moment = 0.00 μB/atom; total DFT energy (no corrections) = -3.3702 eV per atom
1.0
10.357 0.000 0.000
-5.178 8.969 0.000
0.000 0.000 6.585
Ba Sn Ir
8 1 2
Direct
0.171 0.345 0.250
0.174 0.829 0.250
0.333 0.667 0.757
0.345 0.174 0.750
0.655 0.826 0.250
0.667 0.333 0.243
0.826 0.171 0.750
0.829 0.655 0.750
0.000 0.000 0.500
0.333 0.667 0.291
0.667 0.333 0.709



[12]
Ba3SnIr GGA-PBE relaxed; mass density = 5.5 g cm⁻³; ΔE to the lowest computed polymorph = 0.000 eV/atom; total magnetic moment = 0.18 μB/atom; total DFT energy (no corrections) = -3.9288 eV per atom
1.0
6.003 0.000 0.000
0.000 6.003 0.000
0.000 0.000 6.003
Ba Sn Ir
3 1 1
Direct
0.000 0.000 0.500
0.000 0.500 0.000
0.500 0.000 0.000
0.500 0.500 0.500
0.000 0.000 0.000



[13]
Ba2SnIr GGA-PBE relaxed; mass density = 5.5 g cm⁻³; total magnetic moment = 0.00 μB/atom; total DFT energy (no corrections) = -4.4496 eV per atom
1.0
11.778 0.000 0.000
0.000 11.778 0.000
0.000 0.000 5.135
Ba Sn Ir
8 4 4
Direct
0.077 0.250 0.125
0.250 0.577 0.375
0.250 0.923 0.875
0.423 0.250 0.625
0.577 0.750 0.625
0.750 0.077 0.875
0.750 0.423 0.375
0.923 0.750 0.125
0.000 0.000 0.500
0.000 0.500 0.750
0.500 0.000 0.250
0.500 0.500 0.000
0.000 0.000 0.000
0.000 0.500 0.250
0.500 0.000 0.750
0.500 0.500 0.500



[14]
BaSn2Ir GGA-PBE relaxed; mass density = 8.4 g cm⁻³; total magnetic moment = 0.00 μB/atom; total DFT energy (no corrections) = -5.1671 eV per atom
1.0
4.528 0.000 0.000
-2.264 3.921 0.000
0.000 0.000 19.022
Ba Sn Ir
3 6 3
Direct
0.000 0.000 0.000
0.333 0.667 0.667
0.667 0.333 0.333
0.000 0.000 0.213
0.000 0.000 0.787
0.333 0.667 0.454
0.333 0.667 0.879
0.667 0.333 0.121
0.667 0.333 0.546
0.000 0.000 0.500
0.333 0.667 0.167
0.667 0.333 0.833



[15]
Ba2Sn4Ir3 GGA-PBE relaxed; mass density = 9.6 g cm⁻³; total magnetic moment = 0.00 μB/atom; total DFT energy (no corrections) = -5.5303 eV per atom
1.0
0.000 5.353 7.054
3.037 0.000 7.054
3.037 5.353 0.000
Ba Sn Ir
2 4 3
Direct
0.124 0.124 0.876
0.876 0.876 0.124
0.184 0.524 0.476
0.476 0.816 0.184
0.524 0.184 0.816
0.816 0.476 0.524
0.000 0.000 0.500
0.500 0.500 0.000
0.500 0.500 0.500



[16]
BaSn2Ir GGA-PBE relaxed; mass density = 9.5 g cm⁻³; total magnetic moment = 0.00 μB/atom; total DFT energy (no corrections) = -4.6431 eV per atom
1.0
7.338 0.000 0.000
0.000 7.338 0.000
0.000 0.000 7.338
Ba Sn Ir
4 8 4
Direct
0.000 0.000 0.000
0.000 0.500 0.500
0.500 0.000 0.500
0.500 0.500 0.000
0.250 0.250 0.250
0.250 0.250 0.750
0.250 0.750 0.250
0.250 0.750 0.750
0.750 0.250 0.250
0.750 0.250 0.750
0.750 0.750 0.250
0.750 0.750 0.750
0.000 0.000 0.500
0.000 0.500 0.000
0.500 0.000 0.000
0.500 0.500 0.500



[17]
BaSn2Ir GGA-PBE relaxed; mass density = 8.8 g cm⁻³; total magnetic moment = 0.00 μB/atom; total DFT energy (no corrections) = -5.1570 eV per atom
1.0
16.848 0.000 0.000
0.000 7.642 0.000
0.000 0.000 6.652
Ba Sn Ir
8 16 8
Direct
0.102 0.250 0.199
0.134 0.750 0.004
0.366 0.250 0.504
0.398 0.750 0.699
0.602 0.250 0.301
0.634 0.750 0.496
0.866 0.250 0.996
0.898 0.750 0.801
0.045 0.054 0.699
0.045 0.446 0.699
0.211 0.553 0.489
0.211 0.947 0.489
0.289 0.053 0.989
0.289 0.447 0.989
0.455 0.554 0.199
0.455 0.946 0.199
0.545 0.054 0.801
0.545 0.446 0.801
0.711 0.553 0.011
0.711 0.947 0.011
0.789 0.053 0.511
0.789 0.447 0.511
0.955 0.554 0.301
0.955 0.946 0.301
0.074 0.750 0.486
0.187 0.250 0.719
0.313 0.750 0.219
0.426 0.250 0.986
0.574 0.750 0.014
0.687 0.250 0.781
0.813 0.750 0.281
0.926 0.250 0.514



[18]
BaSn3Ir GGA-PBE relaxed; mass density = 7.6 g cm⁻³; total magnetic moment = 0.00 μB/atom; total DFT energy (no corrections) = -4.6723 eV per atom
1.0
7.463 0.000 0.000
0.000 7.475 0.000
0.000 0.000 5.337
Ba Sn Ir
2 6 2
Direct
0.000 0.000 0.000
0.500 0.500 0.000
0.000 0.500 0.000
0.218 0.219 0.500
0.282 0.719 0.500
0.500 0.000 0.000
0.718 0.281 0.500
0.782 0.781 0.500
0.000 0.500 0.500
0.500 0.000 0.500



[19]
BaSn3Ir GGA-PBE relaxed; mass density = 7.6 g cm⁻³; total magnetic moment = 0.00 μB/atom; total DFT energy (no corrections) = -4.6683 eV per atom
1.0
5.309 0.000 0.000
0.000 5.309 0.000
0.000 0.000 5.309
Ba Sn Ir
1 3 1
Direct
0.000 0.000 0.000
0.000 0.500 0.500
0.500 0.000 0.500
0.500 0.500 0.000
0.500 0.500 0.500



[20]
BaSr2SnIr GGA-PBE relaxed; mass density = 5.6 g cm⁻³; total magnetic moment = 0.00 μB/atom; total DFT energy (no corrections) = -3.8879 eV per atom
1.0
5.899 0.000 0.000
0.000 5.899 0.000
0.000 0.000 5.269
Ba Sr Sn Ir
1 2 1 1
Direct
0.000 0.000 0.000
0.000 0.500 0.500
0.500 0.000 0.500
0.500 0.500 0.000
0.500 0.500 0.500